# RbMn2Zn

A relaxed structure of RbMn2Zn (PBE, Alexandria via LeMat-Bulk).

Results
- Fermi-level density of states (states/eV/cell) = 10.0
- SG = I4_1/amd, No. 141
- calculated total energy (eV/atom) = -4.25
- calculated formation energy (eV/f.u.) = 3.57
- size of the total moment (μB per atom) = 1.9957

```
RbMn2Zn
1.0
5.366 0.000 0.000
0.000 5.366 0.000
2.683 2.683 8.729
Zn Mn Rb
2 4 2
Direct
0.500 0.500 0.000 Zn
0.250 0.750 0.500 Zn
0.375 0.125 0.250 Mn
0.375 0.625 0.250 Mn
0.375 0.625 0.750 Mn
0.875 0.625 0.750 Mn
0.000 0.000 0.000 Rb
0.750 0.250 0.500 Rb
```


# LiOsW

A relaxed structure of LiOsW (PBE, Alexandria via LeMat-Bulk).

Results
- distance to the lowest polymorph of the same formula (eV/atom) = 0.196
- Fermi-level density of states (states/eV/cell) = 2.8
- SG = Fmm2, No. 42
- calculated total energy (eV/atom) = -8.33
- calculated formation energy (eV/f.u.) = 1.10
- size of the total moment (μB per atom) = 0.0000

```
LiOsW
1.0
-4.856 -2.665 -4.770
-2.995 -4.577 -4.551
-2.189 -0.495 1.460
Li Os W
1 1 1
Direct
0.995 0.995 0.005 Li
0.332 0.332 0.668 Os
0.674 0.674 0.326 W
```


# Sc2RuCl

A relaxed structure of Sc2RuCl (PBE, Alexandria via LeMat-Bulk).

Results
- distance to the lowest polymorph of the same formula (eV/atom) = 0.390
- E_form (uncorrected) (eV per formula unit) = -2.408
- Fermi-level density of states (states/eV/cell) = 2.4
- SG = C2/m, No. 12
- calculated total energy (eV/atom) = -6.55
- size of the total moment (μB per atom) = 0.0000

```
Sc2RuCl
1.0
-1.711 0.693 -6.637
2.919 -3.363 2.223
-1.655 -2.615 -0.343
Cl Ru Sc
1 1 2
Direct
0.000 0.500 0.500 Cl
0.500 0.500 0.000 Ru
0.000 0.000 0.000 Sc
0.500 0.000 0.500 Sc
```